No. 1
Entry from Alexandria: a PBEsol-optimized structure of HgRh3W (meta-GGA SCAN).

POSCAR file:
```
HgRh3W
1.0
4.719 0.000 0.000
0.000 4.719 0.000
0.000 0.000 4.719
Hg Rh W
1 3 1
Cartesian
0.000 0.000 0.000
0.000 0.000 2.360
0.000 2.360 0.000
2.360 0.000 0.000
2.360 2.360 2.360
```

Output
* crystal system: cubic
* N(E_F): 5.9 states/eV/cell
* E_form: 2463 meV per atom

No. 2
Entry from Alexandria: a PBEsol-optimized structure of Sb2MoPt (meta-GGA SCAN).

POSCAR file:
```
Sb2MoPt
1.0
0.000 3.371 3.371
3.371 0.000 3.371
3.371 3.371 0.000
Sb Mo Pt
2 1 1
Cartesian
0.000 0.000 0.000
1.686 1.686 1.686
5.057 5.057 5.057
3.371 3.371 3.371
```

Output
* crystal system: cubic
* N(E_F): 2.7 states/eV/cell
* VASP energy: -44.3121 eV/atom

No. 3
Entry from Alexandria: a PBEsol-optimized structure of CdCuP2O7 (meta-GGA SCAN).

POSCAR file:
```
CdCuP2O7
1.0
3.346 -4.262 0.000
3.346 4.262 0.000
-1.022 0.000 4.401
Cd Cu P O
1 1 2 7
Cartesian
0.000 0.000 0.000
3.346 0.975 0.000
1.328 -1.730 2.596
4.343 -1.730 1.805
1.767 2.539 3.131
1.424 1.362 0.914
3.904 2.539 1.270
1.273 -0.372 3.296
4.247 1.362 3.487
4.397 -0.372 1.105
2.835 -2.115 2.200
```

Output
* crystal system: monoclinic
* VASP energy: -11.9886 eV/atom

No. 4
Entry from Alexandria: a PBEsol-optimized structure of Eu3B2O6 (meta-GGA SCAN).

POSCAR file:
```
Eu3B2O6
1.0
4.475 2.584 4.079
-4.475 2.584 4.079
0.000 -5.167 4.079
Eu B O
6 4 12
Cartesian
-2.899 0.146 5.099
-1.576 -2.437 7.138
1.323 -2.584 5.099
-1.323 2.584 7.138
1.576 2.437 5.099
2.899 -0.146 7.138
0.000 0.000 1.399
0.000 0.000 4.719
0.000 0.000 7.518
0.000 0.000 10.837
-3.834 -1.348 6.783
-0.749 -3.994 5.454
-0.749 -1.173 4.743
-3.084 2.646 5.454
-0.641 1.236 4.743
-1.391 0.062 7.493
1.391 -0.062 4.743
0.641 -1.236 7.493
3.084 -2.646 6.783
0.749 1.173 7.493
0.749 3.994 6.783
3.834 1.348 5.454
```

Output
* crystal system: trigonal
* VASP energy: -22.4633 eV/atom

What did we get for size of the total moment? Answer: 1.68 1.50 1.00 42.00 Bohr magnetons per cell, in the order shown.